(1)
{"formula": "HoNiGe", "functional": "PBE", "state": "relaxed", "ef_kj_per_mol_atoms": -58.13, "vol_a3_per_atom": 19.606, "lattice_angstrom": [[-1.752, 3.199, 1.762], [-4.757, -3.225, 1.125], [3.763, -2.298, 3.257]], "species": ["Ni", "Ho", "Ge", "Ge", "Ni", "Ho"], "fractional_positions": [[0.599, 0.405, 0.198], [0.886, 0.226, 0.772], [0.812, 0.706, 0.624], [0.188, 0.294, 0.376], [0.401, 0.595, 0.802], [0.114, 0.774, 0.228]]}

(2)
{"formula": "HoNi3Ge2", "functional": "PBE", "state": "relaxed", "ef_kj_per_mol_atoms": -59.60, "vol_a3_per_atom": 15.011, "lattice_angstrom": [[-1.540, -3.412, -0.872], [6.043, -1.838, 4.990], [-7.474, 1.998, 5.380]], "species": ["Ho", "Ge", "Ni", "Ni", "Ge", "Ni", "Ni", "Ho", "Ni", "Ge", "Ni", "Ho", "Ni", "Ge", "Ni", "Ni", "Ge", "Ge"], "fractional_positions": [[0.843, 0.686, 0.298], [0.465, 0.930, 0.221], [0.678, 0.357, 0.970], [0.045, 0.091, 0.342], [0.640, 0.280, 0.457], [0.322, 0.643, 0.030], [0.622, 0.245, 0.202], [0.000, 0.000, 0.000], [0.955, 0.909, 0.658], [0.199, 0.397, 0.131], [0.214, 0.428, 0.391], [0.157, 0.314, 0.702], [0.786, 0.572, 0.609], [0.535, 0.070, 0.779], [0.500, 0.000, 0.500], [0.378, 0.755, 0.798], [0.801, 0.603, 0.869], [0.360, 0.720, 0.543]]}

E_tot
In order: -33.6; -104.6
Unit: eV per cell